# ZnTe2P, optimized geometry, DFT PBE-GGA
# Raw formation energy: 315 meV/atom
# M_tot: 0.00 Bohr magnetons per cell
# Calculated total energy: -2.927 eV per atom
# V: 30.82 Å³ per atom
data_ZnTe2P
_chemical_formula_sum 'Zn2 Te4 P2'
_cell_length_a 3.854
_cell_length_b 7.632
_cell_length_c 8.380
_cell_angle_alpha 90.00
_cell_angle_beta 90.00
_cell_angle_gamma 90.00
_symmetry_space_group_name_H-M 'I m m m'
_symmetry_Int_Tables_number 71
_symmetry_space_group_name_Hall '-I 2 2'
loop_
_atom_site_label
_atom_site_fract_x
_atom_site_fract_y
_atom_site_fract_z
Zn1 0.000 0.000 0.000
Te1 0.000 0.246 0.500
P1 0.000 0.500 0.000

# Al2CuPt, optimized geometry, DFT PBE-GGA
# Formation enthalpy at 0 K: -0.50 eV per atom
# M_tot: 0.00 Bohr magnetons per cell
# Calculated total energy: -4.909 eV per atom
# V: 14.41 Å³ per atom
data_Al2CuPt
_chemical_formula_sum 'Al4 Cu2 Pt2'
_cell_length_a 8.455
_cell_length_b 2.861
_cell_length_c 4.842
_cell_angle_alpha 90.00
_cell_angle_beta 100.19
_cell_angle_gamma 90.00
_symmetry_space_group_name_H-M 'C 1 2/m 1'
_symmetry_Int_Tables_number 12
loop_
_symmetry_equiv_pos_as_xyz
'x,y,z'
'-x,-y,-z'
'-x,y,-z'
'x,-y,z'
'x+1/2,y+1/2,z'
'-x+1/2,-y+1/2,-z'
'-x+1/2,y+1/2,-z'
'x+1/2,-y+1/2,z'
loop_
_atom_site_label
_atom_site_fract_x
_atom_site_fract_y
_atom_site_fract_z
Al1 0.247 0.000 0.250
Cu1 0.000 0.000 0.500
Pt1 0.000 0.500 0.000

# AlCoP, optimized geometry, DFT PBE-GGA
# Formation enthalpy at 0 K: -0.30 eV per atom
# M_tot: 0.00 Bohr magnetons per cell
# Calculated total energy: -5.722 eV per atom
# V: 13.22 Å³ per atom
data_AlCoP
_chemical_formula_sum 'Al1 Co1 P1'
_cell_length_a 3.6990
_cell_length_b 3.6990
_cell_length_c 3.3478
_cell_angle_alpha 90.00
_cell_angle_beta 90.00
_cell_angle_gamma 120.00
_symmetry_space_group_name_H-M 'P -6 m 2'
_symmetry_Int_Tables_number 187
_symmetry_space_group_name_Hall 'P -6 2'
loop_
_atom_site_label
_atom_site_fract_x
_atom_site_fract_y
_atom_site_fract_z
Al1 0.0000 0.0000 0.0000
Co1 0.6667 0.3333 0.5000
P1 0.3333 0.6667 0.5000